(1)
Density functional theory data (PBE) for a relaxed Nd8Ga3TcBr4 crystal.

a b c (Å): 14.783 8.546 8.961
angles (deg): 90.00 123.33 90.00
Space group C2/m (No. 12)
Symmetry-distinct sites (fractional):
Nd1 0.009 0.235 0.291 [8 per cell]
Nd2 0.227 0.000 0.709 [4 per cell]
Nd3 0.244 0.500 0.731 [4 per cell]
Ga1 0.000 0.500 0.500 [2 per cell]
Ga2 0.250 0.250 0.500 [4 per cell]
Tc1 0.000 0.000 0.500 [2 per cell]
Br1 0.000 0.000 0.000 [2 per cell]
Br2 0.000 0.500 0.000 [2 per cell]
Br3 0.250 0.250 0.000 [4 per cell]

Computed properties:
raw formation energy	-0.795	eV per atom
N(E_F)	19.91	states/eV/cell

***

(2)
Density functional theory data (PBE) for a relaxed Nd6GaTc2Br3 crystal.

a b c (Å): 7.302 12.539 8.160
angles (deg): 90.00 107.09 90.00
Space group C2/m (No. 12)
Symmetry-distinct sites (fractional):
Nd1 0.209 0.000 0.195 [4 per cell]
Nd2 0.246 0.324 0.200 [8 per cell]
Ga1 0.000 0.500 0.000 [2 per cell]
Tc1 0.000 0.169 0.000 [4 per cell]
Br1 0.000 0.000 0.500 [2 per cell]
Br2 0.000 0.332 0.500 [4 per cell]

Computed properties:
raw formation energy	-0.624	eV per atom
N(E_F)	5.06	states/eV/cell

***

(3)
Density functional theory data (PBE) for a relaxed Nd4GaTeBr2 crystal.

a b c (Å): 7.447 4.386 7.841
angles (deg): 90.00 109.74 90.00
Space group P2/m (No. 10)
Symmetry-distinct sites (fractional):
Nd1 0.224 0.000 0.219 [2 per cell]
Nd2 0.236 0.500 0.775 [2 per cell]
Ga1 0.000 0.500 0.000 [1 per cell]
Te1 0.000 0.000 0.500 [1 per cell]
Br1 0.500 0.000 0.000 [1 per cell]
Br2 0.500 0.500 0.500 [1 per cell]

Computed properties:
raw formation energy	-1.115	eV per atom
N(E_F)	4.39	states/eV/cell

***

(4)
Density functional theory data (PBE) for a relaxed Nd4GaTe2Br crystal.

a b c (Å): 7.636 4.389 7.701
angles (deg): 90.00 108.97 90.00
Space group P2/m (No. 10)
Symmetry-distinct sites (fractional):
Nd1 0.231 0.000 0.230 [2 per cell]
Nd2 0.235 0.500 0.763 [2 per cell]
Ga1 0.000 0.500 0.000 [1 per cell]
Te1 0.000 0.000 0.500 [1 per cell]
Te2 0.500 0.500 0.500 [1 per cell]
Br1 0.500 0.000 0.000 [1 per cell]

Computed properties:
raw formation energy	-1.184	eV per atom
N(E_F)	4.20	states/eV/cell

***

(5)
Density functional theory data (PBE) for a relaxed Nd8ZnGa3Br4 crystal.

a b c (Å): 14.784 8.526 8.804
angles (deg): 90.00 124.08 90.00
Space group C2/m (No. 12)
Symmetry-distinct sites (fractional):
Nd1 0.007 0.249 0.268 [8 per cell]
Nd2 0.243 0.000 0.728 [4 per cell]
Nd3 0.245 0.500 0.732 [4 per cell]
Zn1 0.000 0.500 0.500 [2 per cell]
Ga1 0.000 0.000 0.500 [2 per cell]
Ga2 0.250 0.250 0.500 [4 per cell]
Br1 0.000 0.000 0.000 [2 per cell]
Br2 0.000 0.500 0.000 [2 per cell]
Br3 0.250 0.250 0.000 [4 per cell]

Computed properties:
raw formation energy	-0.849	eV per atom
N(E_F)	18.97	states/eV/cell

***

(6)
Density functional theory data (PBE) for a relaxed Ga2NiBr8 crystal.

a b c (Å): 19.032 8.852 12.450
angles (deg): 90.00 129.19 90.00
Space group C2/c (No. 15)
Symmetry-distinct sites (fractional):
Ga1 0.079 0.236 0.030 [8 per cell]
Ni1 0.000 0.011 0.750 [4 per cell]
Br1 0.068 0.213 0.691 [8 per cell]
Br2 0.079 0.212 0.221 [8 per cell]
Br3 0.141 0.016 0.002 [8 per cell]
Br4 0.155 0.456 0.062 [8 per cell]

Computed properties:
raw formation energy	-0.674	eV per atom

***

(7)
Density functional theory data (PBE) for a relaxed GaNiBr2 crystal.

a b c (Å): 7.086 7.086 7.086
angles (deg): 90.00 90.00 90.00
Space group Fm-3m (No. 225)
Symmetry-distinct sites (fractional):
Ga1 0.000 0.000 0.000 [4 per cell]
Ni1 0.000 0.000 0.500 [4 per cell]
Br1 0.250 0.250 0.250 [8 per cell]

Computed properties:
energy above the lowest structure with this stoichiometry	387.8	meV per atom
raw formation energy	0.213	eV per atom
N(E_F)	31.10	states/eV/cell

***

(8)
Density functional theory data (PBE) for a relaxed Ga3NiBr crystal.

a b c (Å): 4.696 4.696 4.696
angles (deg): 90.00 90.00 90.00
Space group Pm-3m (No. 221)
Symmetry-distinct sites (fractional):
Ga1 0.000 0.000 0.500 [3 per cell]
Ni1 0.000 0.000 0.000 [1 per cell]
Br1 0.500 0.500 0.500 [1 per cell]

Computed properties:
energy above the lowest structure with this stoichiometry	0.0	meV per atom
raw formation energy	-0.341	eV per atom
N(E_F)	0.32	states/eV/cell

***

(9)
Density functional theory data (PBE) for a relaxed GaNiBr2 crystal.

a b c (Å): 7.581 7.581 6.815
angles (deg): 90.00 90.00 90.00
Space group I-42d (No. 122)
Symmetry-distinct sites (fractional):
Ga1 0.000 0.000 0.000 [4 per cell]
Ni1 0.000 0.000 0.500 [4 per cell]
Br1 0.165 0.250 0.625 [8 per cell]

Computed properties:
energy above the lowest structure with this stoichiometry	0.0	meV per atom
raw formation energy	-0.175	eV per atom
N(E_F)	2.13	states/eV/cell

***

(10)
Density functional theory data (PBE) for a relaxed GaNiPb2Br crystal.

a b c (Å): 5.133 5.133 5.243
angles (deg): 90.00 90.00 90.00
Space group P4/mmm (No. 123)
Symmetry-distinct sites (fractional):
Ga1 0.000 0.000 0.000 [1 per cell]
Ni1 0.500 0.500 0.500 [1 per cell]
Pb1 0.000 0.500 0.500 [2 per cell]
Br1 0.500 0.500 0.000 [1 per cell]

Computed properties:
raw formation energy	0.191	eV per atom
N(E_F)	2.62	states/eV/cell

***

(11)
Density functional theory data (PBE) for a relaxed Pr8Ga3NiBr4 crystal.

a b c (Å): 14.902 8.509 8.946
angles (deg): 90.00 123.99 90.00
Space group C2/m (No. 12)
Symmetry-distinct sites (fractional):
Pr1 0.007 0.239 0.283 [8 per cell]
Pr2 0.233 0.000 0.719 [4 per cell]
Pr3 0.245 0.500 0.735 [4 per cell]
Ga1 0.000 0.500 0.500 [2 per cell]
Ga2 0.250 0.250 0.500 [4 per cell]
Ni1 0.000 0.000 0.500 [2 per cell]
Br1 0.000 0.000 0.000 [2 per cell]
Br2 0.000 0.500 0.000 [2 per cell]
Br3 0.250 0.250 0.000 [4 per cell]

Computed properties:
raw formation energy	-0.854	eV per atom
N(E_F)	28.96	states/eV/cell

***

(12)
Density functional theory data (PBE) for a relaxed Pr4GaNiBr2 crystal.

a b c (Å): 7.616 4.046 7.906
angles (deg): 90.00 106.83 90.00
Space group P2/m (No. 10)
Symmetry-distinct sites (fractional):
Pr1 0.218 0.000 0.199 [2 per cell]
Pr2 0.249 0.500 0.775 [2 per cell]
Ga1 0.500 0.000 0.000 [1 per cell]
Ni1 0.000 0.500 0.000 [1 per cell]
Br1 0.000 0.000 0.500 [1 per cell]
Br2 0.500 0.500 0.500 [1 per cell]

Computed properties:
raw formation energy	-0.817	eV per atom
N(E_F)	8.41	states/eV/cell

***

(13)
Density functional theory data (PBE) for a relaxed GaNiSeBr2 crystal.

a b c (Å): 5.160 5.160 4.624
angles (deg): 90.00 90.00 90.00
Space group P4/mmm (No. 123)
Symmetry-distinct sites (fractional):
Ga1 0.000 0.000 0.000 [1 per cell]
Ni1 0.500 0.500 0.500 [1 per cell]
Se1 0.500 0.500 0.000 [1 per cell]
Br1 0.000 0.500 0.500 [2 per cell]

Computed properties:
energy above the lowest structure with this stoichiometry	0.0	meV per atom
raw formation energy	-0.074	eV per atom
N(E_F)	3.45	states/eV/cell

***

(14)
Density functional theory data (PBE) for a relaxed Sm8Ga3NiBr4 crystal.

a b c (Å): 14.575 8.310 8.804
angles (deg): 90.00 123.79 90.00
Space group C2/m (No. 12)
Symmetry-distinct sites (fractional):
Sm1 0.008 0.237 0.286 [8 per cell]
Sm2 0.230 0.000 0.716 [4 per cell]
Sm3 0.244 0.500 0.733 [4 per cell]
Ga1 0.000 0.500 0.500 [2 per cell]
Ga2 0.250 0.250 0.500 [4 per cell]
Ni1 0.000 0.000 0.500 [2 per cell]
Br1 0.000 0.000 0.000 [2 per cell]
Br2 0.000 0.500 0.000 [2 per cell]
Br3 0.250 0.250 0.000 [4 per cell]

Computed properties:
raw formation energy	-0.837	eV per atom
N(E_F)	27.02	states/eV/cell

***

(15)
Density functional theory data (PBE) for a relaxed Sm6GaNi2Br3 crystal.

a b c (Å): 19.216 3.995 9.017
angles (deg): 90.00 108.51 90.00
Space group C2/m (No. 12)
Symmetry-distinct sites (fractional):
Sm1 0.015 0.000 0.246 [4 per cell]
Sm2 0.161 0.500 0.127 [4 per cell]
Sm3 0.179 0.500 0.556 [4 per cell]
Ga1 0.000 0.500 0.000 [2 per cell]
Ni1 0.168 0.000 0.342 [4 per cell]
Br1 0.000 0.500 0.500 [2 per cell]
Br2 0.162 0.000 0.838 [4 per cell]

Computed properties:
raw formation energy	-0.814	eV per atom
N(E_F)	16.26	states/eV/cell

***

(16)
Density functional theory data (PBE) for a relaxed Ga2NiSnBr crystal.

a b c (Å): 4.711 4.711 5.066
angles (deg): 90.00 90.00 90.00
Space group P4/mmm (No. 123)
Symmetry-distinct sites (fractional):
Ga1 0.000 0.500 0.000 [2 per cell]
Ni1 0.000 0.000 0.000 [1 per cell]
Sn1 0.000 0.000 0.500 [1 per cell]
Br1 0.500 0.500 0.500 [1 per cell]

Computed properties:
raw formation energy	-0.260	eV per atom
N(E_F)	1.63	states/eV/cell

***

(17)
Density functional theory data (PBE) for a relaxed VGaNi2Br crystal.

a b c (Å): 4.526 4.526 4.742
angles (deg): 90.00 90.00 90.00
Space group P4/mmm (No. 123)
Symmetry-distinct sites (fractional):
V1 0.000 0.000 0.000 [1 per cell]
Ga1 0.500 0.500 0.500 [1 per cell]
Ni1 0.000 0.500 0.000 [2 per cell]
Br1 0.000 0.000 0.500 [1 per cell]

Computed properties:
energy above the lowest structure with this stoichiometry	0.0	meV per atom
raw formation energy	0.758	eV per atom
N(E_F)	5.45	states/eV/cell

***

(18)
Density functional theory data (PBE) for a relaxed VGaNi2Br crystal.

a b c (Å): 4.343 4.343 5.290
angles (deg): 90.00 90.00 90.00
Space group P4/mmm (No. 123)
Symmetry-distinct sites (fractional):
V1 0.000 0.000 0.000 [1 per cell]
Ga1 0.500 0.500 0.500 [1 per cell]
Ni1 0.000 0.500 0.500 [2 per cell]
Br1 0.500 0.500 0.000 [1 per cell]

Computed properties:
energy above the lowest structure with this stoichiometry	389.1	meV per atom
raw formation energy	1.147	eV per atom
N(E_F)	9.18	states/eV/cell

***

(19)
Density functional theory data (PBE) for a relaxed ZnGaNi2Br crystal.

a b c (Å): 4.354 4.354 5.784
angles (deg): 90.00 90.00 90.00
Space group P4/mmm (No. 123)
Symmetry-distinct sites (fractional):
Zn1 0.000 0.000 0.000 [1 per cell]
Ga1 0.500 0.500 0.000 [1 per cell]
Ni1 0.000 0.500 0.500 [2 per cell]
Br1 0.500 0.500 0.500 [1 per cell]

Computed properties:
raw formation energy	0.749	eV per atom
N(E_F)	0.68	states/eV/cell

***

(20)
Density functional theory data (PBE) for a relaxed NpGa2Br8 crystal.

a b c (Å): 13.341 9.706 7.041
angles (deg): 90.00 101.06 90.00
Space group C2/m (No. 12)
Symmetry-distinct sites (fractional):
Np1 0.000 0.000 0.000 [2 per cell]
Ga1 0.202 0.000 0.665 [4 per cell]
Br1 0.103 0.190 0.773 [8 per cell]
Br2 0.124 0.500 0.192 [4 per cell]
Br3 0.183 0.000 0.303 [4 per cell]

Computed properties:
raw formation energy	-0.881	eV per atom
N(E_F)	14.81	states/eV/cell

***

(21)
Density functional theory data (PBE) for a relaxed NpGa3Br6 crystal.

a b c (Å): 7.501 8.384 13.004
angles (deg): 90.00 122.16 90.00
Space group P2_1/c (No. 14)
Symmetry-distinct sites (fractional):
Np1 0.000 0.000 0.000 [2 per cell]
Ga1 0.307 0.086 0.790 [4 per cell]
Ga2 0.500 0.000 0.500 [2 per cell]
Br1 0.091 0.070 0.242 [4 per cell]
Br2 0.254 0.714 0.086 [4 per cell]
Br3 0.371 0.171 0.047 [4 per cell]

Computed properties:
raw formation energy	-0.842	eV per atom
N(E_F)	10.50	states/eV/cell

***

(22)
Density functional theory data (PBE) for a relaxed NpGa2Br5 crystal.

a b c (Å): 5.843 7.885 8.127
angles (deg): 98.03 107.81 106.30
Space group P1 (No. 1)
Symmetry-distinct sites (fractional):
Np1 0.000 0.000 0.000 [1 per cell]
Ga1 0.235 0.999 0.579 [1 per cell]
Ga2 0.412 0.578 0.196 [1 per cell]
Br1 0.147 0.303 0.852 [1 per cell]
Br2 0.198 0.261 0.335 [1 per cell]
Br3 0.477 0.943 0.995 [1 per cell]
Br4 0.767 0.800 0.631 [1 per cell]
Br5 0.986 0.723 0.201 [1 per cell]

Computed properties:
raw formation energy	-0.900	eV per atom
N(E_F)	5.19	states/eV/cell

***

Asked for volume across the records above, the calculation gives 946 714 241 244 919 1626 356 104 392 138 941 233 123 886 656 112 97 100 110 895 692 332 Å³/cell in order.